Crystalline VMoO2 at its relaxed geometry. Source: Alexandria, functional PBE with a Hubbard U.

abc: 6.8914 6.8914 6.8914
angles: 23.84 23.84 23.84
Positions (direct):
Mo  0.5000  0.5000  0.5000
V  0.0000  0.0000  0.0000
O  0.0960  0.0960  0.0960
O  0.9040  0.9040  0.9040

Values from the calculation:
* calculated density: 6325 kg/m³
* crystal system: trigonal
* energy relative to the lowest polymorph listed for this composition: 55.64 kJ per mole of atoms
* space-group type: R-3m